Entry 1:
The following is a DFT calculation (PBE) of a relaxed TaAlAs2 crystal.

As for the total energy: -0.2267 Ha/atom. As for the spin magnetization: 0.000 μB/f.u. Its energy of formation is 53.5 meV per atom.

It has space group R-3m (No. 166, hexagonal axes), with a = 3.1064 Å, b = 3.1064 Å, c = 27.7688 Å, α = 90.00°, β = 90.00° and γ = 120.00°. The inequivalent atoms are Ta at (0.0000, 0.0000, 0.0000), Al at (0.0000, 0.0000, 0.5000) and As at (0.0000, 0.0000, 0.2611).



Entry 2:
The following is a DFT calculation (PBE) of a relaxed TaAlAs crystal.

As for the total energy: -0.2605 Ha/atom. As for the spin magnetization: 0.000 μB/f.u. Its energy of formation is -340.9 meV per atom.

It has space group I4mm (No. 107), with a = 3.349 Å, b = 3.349 Å, c = 8.760 Å, α = 90.00°, β = 90.00° and γ = 90.00°. The inequivalent atoms are Ta at (0.000, 0.000, 0.000), Al at (0.000, 0.000, 0.678) and As at (0.000, 0.000, 0.348).



Entry 3:
The following is a DFT calculation (PBE) of a relaxed TaAlAs2 crystal.

As for the total energy: -0.2308 Ha/atom. As for the spin magnetization: 0.000 μB/f.u. Its energy of formation is -56.6 meV per atom.

It has space group Immm (No. 71), with a = 3.560 Å, b = 4.839 Å, c = 7.845 Å, α = 90.00°, β = 90.00° and γ = 90.00°. The inequivalent atoms are Ta at (0.000, 0.000, 0.000), Al at (0.000, 0.000, 0.500) and As at (0.000, 0.500, 0.227).



Entry 4:
The following is a DFT calculation (PBE) of a relaxed TaAlAs3 crystal.

As for the total energy: -0.1801 Ha/atom. As for the energy above the most stable polymorph in this dataset: 0.621 eV per atom. As for the spin magnetization: 0.000 μB/f.u. Its energy of formation is 1008.5 meV per atom.

It has space group Pm-3m (No. 221), with a = 4.725 Å, b = 4.725 Å, c = 4.725 Å, α = 90.00°, β = 90.00° and γ = 90.00°. The inequivalent atoms are Ta at (0.000, 0.000, 0.000), Al at (0.500, 0.500, 0.500) and As at (0.000, 0.500, 0.500).



Q: The highest energy of formation belongs to which entry?
A: TaAlAs3



Q: What is the formula in the first record?
A: TaAlAs2